Density functional theory data (GGA-PBE) for an optimized crystal structure of YTcTe2I.

abc: 5.3529 5.3529 5.2938
angles: 90.00 90.00 90.00
Closest atoms and distances in Å follow each position.
Fractional coordinates of all 5 atoms:
Y: 0.0000 0.0000 0.0000  8 Te 3.76, 4 I 3.79
Tc: 0.5000 0.5000 0.5000  2 I 2.65, 4 Te 2.68
Te: 0.0000 0.5000 0.5000  2 Tc 2.68
Te: 0.5000 0.0000 0.5000  2 Tc 2.68
I: 0.5000 0.5000 0.0000  2 Tc 2.65

- symmetry = P4/mmm
- formation energy (no corrections) (eV/atom) = 0.113

***

Density functional theory data (GGA-PBE) for an optimized crystal structure of Mg2In5Hg5.

abc: 4.7109 6.8632 10.0895
angles: 103.04 101.44 97.90
Closest atoms and distances in Å follow each position.
Fractional coordinates of all 12 atoms:
Mg: 0.0401 0.4443 0.1557  4 Hg 2.94-3.09, 2 In 3.11-3.14
Mg: 0.9599 0.5557 0.8443  4 Hg 2.94-3.09, 2 In 3.11-3.14
In: 0.0000 0.5000 0.5000  6 Hg 3.06-3.12
In: 0.0572 0.9951 0.3420  6 Hg 3.07-3.42, 2 In 3.22-3.33
In: 0.4694 0.2685 0.9179  5 Hg 3.04-3.39, 3 Mg 3.11-3.38, 2 In 3.18-3.22
In: 0.5306 0.7315 0.0821  5 Hg 3.04-3.39, 3 Mg 3.11-3.38, 2 In 3.18-3.22
In: 0.9428 0.0049 0.6580  6 Hg 3.07-3.42, 2 In 3.22-3.33
Hg: 0.0000 0.0000 0.0000  4 In 3.04-3.39, 2 Mg 3.06, 2 Hg 3.11
Hg: 0.4527 0.7771 0.7577  2 Mg 2.98-3.09, 4 In 3.06-3.31, 1 Hg 3.11
Hg: 0.4995 0.7152 0.3915  1 Mg 2.94, 6 In 3.07-3.23
Hg: 0.5005 0.2848 0.6085  1 Mg 2.94, 6 In 3.07-3.23
Hg: 0.5473 0.2229 0.2423  2 Mg 2.98-3.09, 4 In 3.06-3.31, 1 Hg 3.11

- symmetry = P-1
- formation energy from the elements (kJ per mole of atoms) = -2.22

***

Density functional theory data (GGA-PBE) for an optimized crystal structure of GaH6Pd12.

abc: 6.5204 6.5204 6.5204
angles: 103.69 103.69 103.69
Closest atoms and distances in Å follow each position.
Fractional coordinates of all 19 atoms:
Ga: 0.0000 0.0000 0.0000  6 H 2.89
H: 0.1495 0.1495 0.4792  4 Pd 1.86-1.99
H: 0.1495 0.4792 0.1495  4 Pd 1.86-1.99
H: 0.4792 0.1495 0.1495  4 Pd 1.86-1.99
H: 0.5208 0.8505 0.8505  4 Pd 1.86-1.99
H: 0.8505 0.5208 0.8505  4 Pd 1.86-1.99
H: 0.8505 0.8505 0.5208  4 Pd 1.86-1.99
Pd: 0.1330 0.5000 0.8670  2 H 1.86
Pd: 0.1330 0.8670 0.5000  2 H 1.86
Pd: 0.1842 0.4531 0.4531  2 H 1.99
Pd: 0.4531 0.1842 0.4531  2 H 1.99
Pd: 0.4531 0.4531 0.1842  2 H 1.99
Pd: 0.5000 0.1330 0.8670  2 H 1.86
Pd: 0.5000 0.8670 0.1330  2 H 1.86
Pd: 0.5469 0.5469 0.8158  2 H 1.99
Pd: 0.5469 0.8158 0.5469  2 H 1.99
Pd: 0.8158 0.5469 0.5469  2 H 1.99
Pd: 0.8670 0.1330 0.5000  2 H 1.86
Pd: 0.8670 0.5000 0.1330  2 H 1.86

- symmetry = R-3m
- final energy (eV per atom) = -4.3986

***

Density functional theory data (GGA-PBE) for an optimized crystal structure of SrFeAg2.

abc: 5.9836 5.9836 5.9836
angles: 45.01 45.01 45.01
Closest atoms and distances in Å follow each position.
Fractional coordinates of all 4 atoms:
Sr: 0.0000 0.0000 0.0000  8 Ag 3.21-3.42
Fe: 0.5000 0.5000 0.5000  6 Ag 2.70
Ag: 0.1991 0.1991 0.1991  3 Fe 2.70, 3 Ag 2.84
Ag: 0.8009 0.8009 0.8009  3 Fe 2.70, 3 Ag 2.84

- symmetry = R-3m
- formation energy from the elements (kJ per mole of atoms) = 17.39

***

Density functional theory data (GGA-PBE) for an optimized crystal structure of WAu.

abc: 5.6589 5.6589 6.9172
angles: 104.16 104.16 28.23
Closest atoms and distances in Å follow each position.
Fractional coordinates of all 6 atoms:
W: 0.0000 0.0000 0.0000  5 W 2.69-2.80, 6 Au 2.85-2.91
W: 0.0514 0.0514 0.6397  5 W 2.69-2.84, 7 Au 2.90-3.00
W: 0.7145 0.7145 0.9610  7 W 2.76-3.08, 5 Au 2.88-2.89
Au: 0.3280 0.3280 0.6847  5 Au 2.76-3.01, 7 W 2.85-2.97
Au: 0.3869 0.3869 0.2826  6 Au 2.76-3.02, 6 W 2.88-3.00
Au: 0.6552 0.6552 0.3455  7 Au 2.76-3.02, 5 W 2.89-2.92

- symmetry = Cm
- formation energy from the elements (kJ per mole of atoms) = 35.15

***

Density functional theory data (GGA-PBE) for an optimized crystal structure of LaTbTlCu.

abc: 5.3379 5.3379 5.3379
angles: 60.00 60.00 60.00
Closest atoms and distances in Å follow each position.
Fractional coordinates of all 4 atoms:
La: 0.0000 0.0000 0.0000  4 Tl 3.27, 4 Cu 3.27
Tb: 0.5000 0.5000 0.5000  4 Tl 3.27, 4 Cu 3.27
Tl: 0.7500 0.7500 0.7500  4 Tb 3.27, 4 La 3.27
Cu: 0.2500 0.2500 0.2500  4 Tb 3.27, 4 La 3.27

- symmetry = F-43m
- formation energy from the elements (kJ per mole of atoms) = -21.40

***

Density functional theory data (GGA-PBE) for an optimized crystal structure of TlCr2Ir.

abc: 4.6423 4.6423 3.0457
angles: 90.00 90.00 90.00
Closest atoms and distances in Å follow each position.
Fractional coordinates of all 4 atoms:
Tl: 0.0000 0.0000 0.0000  8 Cr 2.78, 2 Tl 3.05
Cr: 0.0000 0.5000 0.5000  4 Tl 2.78, 4 Ir 2.78, 2 Cr 3.05
Cr: 0.5000 0.0000 0.5000  4 Tl 2.78, 4 Ir 2.78, 2 Cr 3.05
Ir: 0.5000 0.5000 0.0000  8 Cr 2.78, 2 Ir 3.05

- symmetry = P4/mmm
- formation energy from the elements (kJ per mole of atoms) = 50.26

***

Density functional theory data (GGA-PBE) for an optimized crystal structure of SmGa2S4.

abc: 6.1108 6.1108 6.1108
angles: 105.05 105.05 118.73
Closest atoms and distances in Å follow each position.
Fractional coordinates of all 7 atoms:
Sm: 0.0000 0.0000 0.0000  4 S 2.79
Ga: 0.2500 0.7500 0.5000  4 S 2.36
Ga: 0.7500 0.2500 0.5000  4 S 2.36
S: 0.1714 0.6655 0.8369  2 Ga 2.36
S: 0.3345 0.1714 0.5059  2 Ga 2.36
S: 0.6655 0.8286 0.4941  2 Ga 2.36
S: 0.8286 0.3345 0.1631  2 Ga 2.36

- symmetry = I4/m
- formation energy (no corrections) (eV/atom) = -0.831

***

no.,total magnetic moment (μB/f.u.)
1,1.96
2,0.00
3,0.00
4,2.99
5,0.00
6,0.01
7,6.62
8,0.00